Record 1
# GeSbMo3

A relaxed GeSbMo3 crystal (PBE, Alexandria).

Cell: 4.9017 4.9017 4.9017 Å, 90.00 90.00 90.00°
Last column: nearest neighbours and their distance in Å.
Fractional positions:
Sb (0.0000, 0.0000, 0.0000)  6 Mo 2.45
Mo (0.0000, 0.5000, 0.0000)  2 Sb 2.45
Mo (0.0000, 0.0000, 0.5000)  2 Sb 2.45
Mo (0.5000, 0.0000, 0.0000)  2 Sb 2.45
Ge (0.5000, 0.5000, 0.5000)  12 Mo 3.47

* DOS at the Fermi energy: 1.25 states/eV/atom
* ΔE_f (raw): 2043 meV/atom
* magnetization: 0.00 μB per cell



Record 2
# La6Ho5Th2

A relaxed La6Ho5Th2 crystal (PBE, Alexandria).

Cell: 3.6415 11.6467 21.1399 Å, 90.00 90.00 90.00°
Last column: nearest neighbours and their distance in Å.
Fractional positions:
La (0.0000, 0.0742, 0.3563)  1 Th 3.39, 4 La 3.49-3.64, 6 Ho 3.63-3.65
La (0.0000, 0.9258, 0.6437)  1 Th 3.39, 4 La 3.49-3.64, 6 Ho 3.63-3.65
La (0.0000, 0.5742, 0.1437)  1 Th 3.39, 4 La 3.49-3.64, 6 Ho 3.63-3.65
La (0.0000, 0.4258, 0.8563)  1 Th 3.39, 4 La 3.49-3.64, 6 Ho 3.63-3.65
La (0.5000, 0.3212, 0.1244)  2 Ho 3.35-3.46, 2 Th 3.48, 6 La 3.49-3.64
La (0.5000, 0.6788, 0.8756)  2 Ho 3.35-3.46, 2 Th 3.48, 6 La 3.49-3.64
La (0.5000, 0.8212, 0.3756)  2 Ho 3.35-3.46, 2 Th 3.48, 6 La 3.49-3.64
La (0.5000, 0.1788, 0.6244)  2 Ho 3.35-3.46, 2 Th 3.48, 6 La 3.49-3.64
La (0.0000, 0.5921, 0.4410)  5 La 3.29-3.64, 4 Ho 3.65-3.66
La (0.0000, 0.4079, 0.5590)  5 La 3.29-3.64, 4 Ho 3.65-3.66
La (0.0000, 0.0921, 0.0590)  5 La 3.29-3.64, 4 Ho 3.65-3.66
La (0.0000, 0.9079, 0.9410)  5 La 3.29-3.64, 4 Ho 3.65-3.66
Ho (0.5000, 0.3254, 0.4105)  2 Th 3.58, 6 La 3.63-3.75, 3 Ho 3.64-3.76
Ho (0.5000, 0.6746, 0.5895)  2 Th 3.58, 6 La 3.63-3.75, 3 Ho 3.64-3.76
Ho (0.5000, 0.8254, 0.0895)  2 Th 3.58, 6 La 3.63-3.75, 3 Ho 3.64-3.76
Ho (0.5000, 0.1746, 0.9105)  2 Th 3.58, 6 La 3.63-3.75, 3 Ho 3.64-3.76
Ho (0.5000, 0.5660, 0.2920)  5 La 3.46-3.65, 4 Th 3.51-3.61, 3 Ho 3.64-3.76
Ho (0.5000, 0.4340, 0.7080)  5 La 3.46-3.65, 4 Th 3.51-3.61, 3 Ho 3.64-3.76
Ho (0.5000, 0.0660, 0.2080)  5 La 3.46-3.65, 4 Th 3.51-3.61, 3 Ho 3.64-3.76
Ho (0.5000, 0.9340, 0.7920)  5 La 3.46-3.65, 4 Th 3.51-3.61, 3 Ho 3.64-3.76
Ho (0.5000, 0.5000, 0.0000)  6 La 3.35-3.65, 2 Ho 3.64
Ho (0.5000, 0.0000, 0.5000)  6 La 3.35-3.65, 2 Ho 3.64
Th (0.0000, 0.3133, 0.2649)  3 La 3.39-3.48, 6 Ho 3.51-3.61, 2 Th 3.64
Th (0.0000, 0.6867, 0.7351)  3 La 3.39-3.48, 6 Ho 3.51-3.61, 2 Th 3.64
Th (0.0000, 0.8133, 0.2351)  3 La 3.39-3.48, 6 Ho 3.51-3.61, 2 Th 3.64
Th (0.0000, 0.1867, 0.7649)  3 La 3.39-3.48, 6 Ho 3.51-3.61, 2 Th 3.64

* DOS at the Fermi energy: 1.47 states/eV/atom
* raw total energy: -5.048 eV/atom
* magnetization: 0.00 μB per cell



Record 3
# CeSmOs2

A relaxed CeSmOs2 crystal (PBE, Alexandria).

Cell: 4.9165 4.9165 4.9165 Å, 60.00 60.00 60.00°
Last column: nearest neighbours and their distance in Å.
Fractional positions:
Os (0.2500, 0.2500, 0.2500)  4 Ce 3.01, 4 Sm 3.01
Os (0.7500, 0.7500, 0.7500)  4 Sm 3.01, 4 Ce 3.01
Ce (0.0000, 0.0000, 0.0000)  8 Os 3.01
Sm (0.5000, 0.5000, 0.5000)  8 Os 3.01

* DOS at the Fermi energy: 0.91 states/eV/atom
* raw total energy: -8.269 eV/atom
* magnetization: 0.00 μB per cell



Record 4
# Re3SiSb

A relaxed Re3SiSb crystal (PBE, Alexandria).

Cell: 4.8548 4.8548 4.8548 Å, 90.00 90.00 90.00°
Last column: nearest neighbours and their distance in Å.
Fractional positions:
Re (0.0000, 0.5000, 0.0000)  2 Sb 2.43
Re (0.0000, 0.0000, 0.5000)  2 Sb 2.43
Re (0.5000, 0.0000, 0.0000)  2 Sb 2.43
Si (0.5000, 0.5000, 0.5000)  12 Re 3.43
Sb (0.0000, 0.0000, 0.0000)  6 Re 2.43

* DOS at the Fermi energy: 0.78 states/eV/atom
* ΔE_f (raw): 2802 meV/atom
* magnetization: 3.14 μB per cell



Record 5
# CeDy4Tm2

A relaxed CeDy4Tm2 crystal (PBE, Alexandria).

Cell: 5.8868 6.1180 7.0957 Å, 115.54 90.00 90.00°
Last column: nearest neighbours and their distance in Å.
Fractional positions:
Ce (0.0000, 0.5000, 0.0000)  6 Dy 3.43-3.82
Dy (0.5000, 0.6380, 0.2760)  3 Tm 3.08-3.20, 2 Ce 3.43
Dy (0.0000, 0.7983, 0.5965)  2 Tm 3.16, 2 Dy 3.30
Dy (0.5000, 0.3620, 0.7240)  3 Tm 3.08-3.20, 2 Ce 3.43
Dy (0.0000, 0.2017, 0.4035)  2 Tm 3.16, 2 Dy 3.30
Tm (0.5000, 0.1122, 0.2244)  1 Tm 2.87, 5 Dy 3.08-3.20
Tm (0.5000, 0.8878, 0.7756)  1 Tm 2.87, 5 Dy 3.08-3.20

* DOS at the Fermi energy: 2.29 states/eV/atom
* raw total energy: -4.202 eV/atom
* magnetization: 1.79 μB per cell



Record 6
# Gd2AsRu

A relaxed Gd2AsRu crystal (PBE, Alexandria).

Cell: 3.6072 3.6072 6.6550 Å, 90.00 90.00 90.00°
Last column: nearest neighbours and their distance in Å.
Fractional positions:
Ru (0.5000, 0.5000, 0.0000)  8 Gd 3.04, 2 As 3.33
As (0.5000, 0.5000, 0.5000)  8 Gd 3.05, 2 Ru 3.33
Gd (0.0000, 0.0000, 0.7509)  4 Ru 3.04, 4 As 3.05, 2 Gd 3.32-3.34
Gd (0.0000, 0.0000, 0.2491)  4 Ru 3.04, 4 As 3.05, 2 Gd 3.32-3.34

* DOS at the Fermi energy: 0.55 states/eV/atom
* raw total energy: -11.212 eV/atom
* magnetization: 13.78 μB per cell



Record 7
# Cs2Th3Te6

A relaxed Cs2Th3Te6 crystal (PBE, Alexandria).

Cell: 7.7325 7.7326 9.7271 Å, 82.38 74.61 60.00°
Last column: nearest neighbours and their distance in Å.
Fractional positions:
Cs (0.1666, 0.6668, 0.5000)  6 Te 3.83
Cs (0.8334, 0.3332, 0.5000)  6 Te 3.83
Th (0.0000, 0.0000, 0.0000)  6 Te 3.17-3.20
Th (0.3328, 0.3345, 0.0000)  6 Te 3.17-3.19
Th (0.6672, 0.6655, 0.0000)  6 Te 3.17-3.19
Te (0.3996, 0.6695, 0.8012)  3 Th 3.17-3.19
Te (0.7300, 0.0000, 0.8017)  3 Th 3.17-3.20
Te (0.0691, 0.3305, 0.8012)  3 Th 3.17-3.19
Te (0.2700, 0.0000, 0.1983)  3 Th 3.17-3.20
Te (0.6004, 0.3305, 0.1988)  3 Th 3.17-3.19
Te (0.9309, 0.6695, 0.1988)  3 Th 3.17-3.19

* DOS at the Fermi energy: 0.74 states/eV/atom
* ΔE_f (raw): -1203 meV/atom
* magnetization: 0.00 μB per cell



Record 8
# CaYNi2W

A relaxed CaYNi2W crystal (PBE, Alexandria).

Cell: 4.6191 5.2040 4.6191 Å, 90.00 90.00 90.00°
Last column: nearest neighbours and their distance in Å.
Fractional positions:
Y (0.0000, 0.0000, 0.0000)  4 Ni 2.31
Ni (0.0000, 0.0000, 0.5000)  2 Y 2.31
Ni (0.5000, 0.0000, 0.0000)  2 Y 2.31
Ca (0.0000, 0.5000, 0.0000)  2 Y 2.60
W (0.5000, 0.5000, 0.5000)  4 Ca 3.27, 8 Ni 3.48

* DOS at the Fermi energy: 0.53 states/eV/atom
* raw total energy: -4.750 eV/atom
* magnetization: 2.83 μB per cell



Record 9
# Y3MgAs4

A relaxed Y3MgAs4 crystal (PBE, Alexandria).

Cell: 5.8001 5.8001 5.8001 Å, 90.00 90.00 90.00°
Last column: nearest neighbours and their distance in Å.
Fractional positions:
Y (0.0000, 0.5000, 0.5000)  6 As 2.90
Y (0.5000, 0.0000, 0.5000)  6 As 2.90
Y (0.5000, 0.5000, 0.0000)  6 As 2.90
Mg (0.0000, 0.0000, 0.0000)  6 As 2.90
As (0.5000, 0.0000, 0.0000)  4 Y 2.90, 2 Mg 2.90
As (0.0000, 0.5000, 0.0000)  4 Y 2.90, 2 Mg 2.90
As (0.0000, 0.0000, 0.5000)  4 Y 2.90, 2 Mg 2.90
As (0.5000, 0.5000, 0.5000)  6 Y 2.90

* DOS at the Fermi energy: 0.50 states/eV/atom
* raw total energy: -6.141 eV/atom
* magnetization: 0.00 μB per cell



Record 10
# VReTc2H

A relaxed VReTc2H crystal (PBE, Alexandria).

Cell: 3.9120 3.9120 3.8969 Å, 90.00 90.00 90.00°
Last column: nearest neighbours and their distance in Å.
Fractional positions:
Re (0.5000, 0.5000, 0.5000)  8 Tc 2.76, 4 V 2.77
Tc (0.0000, 0.5000, 0.0000)  2 H 1.96
Tc (0.5000, 0.0000, 0.0000)  2 H 1.96
H (0.0000, 0.0000, 0.0000)  2 V 1.95, 4 Tc 1.96
V (0.0000, 0.0000, 0.5000)  2 H 1.95

* DOS at the Fermi energy: 0.71 states/eV/atom
* raw total energy: -9.125 eV/atom
* magnetization: 0.00 μB per cell



Volume (Å³ per cell)
117.8; 896.6; 84.0; 114.4; 230.6; 86.6; 485.6; 111.0; 195.1; 59.6